Computed, not measured: a relaxed structure of BaCoBiO4 at the PBE+U level of DFT.

abc: 6.4256 5.9367 7.4652
angles: 90.00 114.03 90.00
Positions (direct):
Ba  0.7148  0.7500  0.9651
Ba  0.2852  0.2500  0.0349
Co  0.2739  0.7500  0.2950
Co  0.7261  0.2500  0.7050
Bi  0.7984  0.7500  0.5239
Bi  0.2016  0.2500  0.4761
O  0.9304  0.4939  0.7510
O  0.0696  0.9939  0.2490
O  0.0696  0.5061  0.2490
O  0.9304  0.0061  0.7510
O  0.4579  0.7500  0.1653
O  0.5421  0.2500  0.8347
O  0.4902  0.7500  0.5664
O  0.5098  0.2500  0.4336

Summary:
- E_tot: -5.93 eV/atom
- Symmetry: P2_1/m, No. 11
- Volume: 18.58 Å³/atom